Run i
Density functional theory data (PBE) for a relaxed structure of PrSmPd4.

```
data_PrSmPd4
_chemical_formula_sum 'Pr4 Sm4 Pd16'
_cell_length_a 7.815
_cell_length_b 7.815
_cell_length_c 7.815
_cell_angle_alpha 90.00
_cell_angle_beta 90.00
_cell_angle_gamma 90.00
_symmetry_space_group_name_H-M 'F -4 3 m'
_symmetry_Int_Tables_number 216
_symmetry_space_group_name_Hall 'F -4 2 3'
loop_
_atom_site_label
_atom_site_fract_x
_atom_site_fract_y
_atom_site_fract_z
Pr1 0.000 0.000 0.000
Sm1 0.250 0.250 0.250
Pd1 0.125 0.125 0.625
```

Values from the calculation:
- Crystal system: cubic
- DOS at the Fermi energy: 5.61 states/eV/cell

Run ii
Density functional theory data (PBE) for a relaxed structure of PrSmPd4.

```
data_PrSmPd4
_chemical_formula_sum 'Pr4 Sm4 Pd16'
_cell_length_a 4.277
_cell_length_b 19.891
_cell_length_c 5.875
_cell_angle_alpha 90.00
_cell_angle_beta 90.00
_cell_angle_gamma 90.00
_symmetry_space_group_name_H-M 'C m c m'
_symmetry_Int_Tables_number 63
_symmetry_space_group_name_Hall '-C 2c 2'
loop_
_atom_site_label
_atom_site_fract_x
_atom_site_fract_y
_atom_site_fract_z
Pr1 0.000 0.223 0.250
Sm1 0.000 0.077 0.750
Pd1 0.000 0.072 0.250
Pd2 0.000 0.355 0.512
Pd3 0.000 0.500 0.000
```

Values from the calculation:
- Crystal system: orthorhombic
- DOS at the Fermi energy: 5.94 states/eV/cell

run ii is the most stable structure shown above.